# 1
A relaxed Cs3Dy3GaTe8 crystal, computed with PBE.

abc: 8.7811 8.7832 10.5616
angles: 114.59 90.00 120.00
With the nearest neighbours (Å) after each atom.
Fractional positions:
1 Cs 0.0000 0.0000 0.0000  6 Te 3.81-3.86
2 Cs 0.0000 0.5000 0.0000  6 Te 3.82-3.86
3 Cs 0.5000 0.5000 0.0000  6 Te 3.82-3.86
4 Dy 0.5000 0.0000 0.5000  6 Te 3.09-3.10
5 Dy 0.5000 0.5000 0.5000  6 Te 3.09-3.10
6 Dy 0.0000 0.5000 0.5000  6 Te 3.09-3.10
7 Ga 0.0000 0.0000 0.5000  6 Te 2.94-2.97
8 Te 0.2692 0.5385 0.3080  3 Dy 3.10
9 Te 0.7308 0.4615 0.6920  3 Dy 3.10
10 Te 0.7806 0.5612 0.3190  1 Ga 2.94, 2 Dy 3.09
11 Te 0.2194 0.4388 0.6810  1 Ga 2.94, 2 Dy 3.09
12 Te 0.7790 0.0389 0.3179  1 Ga 2.96, 2 Dy 3.09
13 Te 0.2210 0.9611 0.6821  1 Ga 2.96, 2 Dy 3.09
14 Te 0.2600 0.0389 0.3179  1 Ga 2.97, 2 Dy 3.09
15 Te 0.7400 0.9611 0.6821  1 Ga 2.97, 2 Dy 3.09

Values from the calculation:
Symmetry: C2/m (12)
Raw formation energy in eV/f.u.: -16.0
Raw total energy in eV/cell: -60.479
Size of the total moment in Bohr magnetons per cell: 0.00
Volume in Å³/cell: 618.7

---

# 2
A relaxed CsGd2Dy crystal, computed with PBE.

abc: 3.6606 3.6606 13.3070
angles: 82.09 82.09 60.00
With the nearest neighbours (Å) after each atom.
Fractional positions:
1 Cs 0.0000 0.0000 0.0000  6 Cs 3.66, 2 Gd 3.77
2 Gd 0.0957 0.0957 0.7128  3 Dy 3.50, 6 Gd 3.66, 1 Cs 3.77
3 Gd 0.9043 0.9043 0.2872  3 Dy 3.50, 6 Gd 3.66, 1 Cs 3.77
4 Dy 0.5000 0.5000 0.5000  6 Gd 3.50, 6 Dy 3.66

Values from the calculation:
Symmetry: R-3m (166)
Raw total energy in eV/cell: -32.405
Energy relative to the elements in eV/f.u.: 1.21
Size of the total moment in Bohr magnetons per cell: 14.74
Volume in Å³/cell: 152.5

---

# 3
A relaxed CsDyGe2I8 crystal, computed with PBE.

abc: 7.8237 7.2281 11.0631
angles: 91.62 85.55 83.57
With the nearest neighbours (Å) after each atom.
Fractional positions:
1 Cs 0.0000 0.0000 0.5000  6 I 3.88-4.00
2 Dy 0.0000 0.0000 0.0000  6 I 3.00-3.09
3 Ge 0.4509 0.4359 0.8073  2 I 2.67-2.80
4 Ge 0.5491 0.5641 0.1927  2 I 2.67-2.80
5 I 0.1662 0.7639 0.1866  1 Dy 3.00, 1 Ge 3.18
6 I 0.6880 0.7722 0.0072  1 Ge 2.80, 1 Dy 3.09
7 I 0.8402 0.2617 0.2108  1 Ge 3.00, 1 Dy 3.06
8 I 0.8338 0.2361 0.8134  1 Dy 3.00, 1 Ge 3.18
9 I 0.3120 0.2278 0.9928  1 Ge 2.80, 1 Dy 3.09
10 I 0.1598 0.7383 0.7892  1 Ge 3.00, 1 Dy 3.06
11 I 0.6010 0.7508 0.3956  1 Ge 2.67
12 I 0.3990 0.2492 0.6044  1 Ge 2.67

Values from the calculation:
Symmetry: P-1 (2)
Raw formation energy in eV/f.u.: -9.9
Raw total energy in eV/cell: -36.972
Size of the total moment in Bohr magnetons per cell: 0.00
Volume in Å³/cell: 619.4

---

> Look up the size of the total moment of the first one.

0.00 Bohr magnetons per cell